[1]
A relaxed Nd2HfCo crystal. Source: the Alexandria database, functional PBE-GGA.

Geometry as POSCAR:
```
Nd2HfCo
1.0
3.407 0.000 0.000
-1.703 2.951 0.000
0.000 0.000 30.888
Nd Hf Co
6 3 3
Direct
0.000 0.000 0.105
0.000 0.000 0.895
0.333 0.667 0.562
0.333 0.667 0.772
0.667 0.333 0.228
0.667 0.333 0.438
0.000 0.000 0.000
0.333 0.667 0.667
0.667 0.333 0.333
0.000 0.000 0.500
0.333 0.667 0.167
0.667 0.333 0.833
```

- calculated total energy (eV/atom) = -6.119
- crystal system = trigonal
- energy relative to the elements (eV per atom) = 0.5294

***

[2]
A relaxed CsNd2Tm crystal. Source: the Alexandria database, functional PBE-GGA.

Geometry as POSCAR:
```
CsNd2Tm
1.0
3.706 0.000 0.000
-1.853 3.209 0.000
0.000 0.000 40.145
Cs Nd Tm
3 6 3
Direct
0.000 0.000 0.000
0.333 0.667 0.667
0.667 0.333 0.333
0.000 0.000 0.096
0.000 0.000 0.904
0.333 0.667 0.570
0.333 0.667 0.763
0.667 0.333 0.237
0.667 0.333 0.430
0.000 0.000 0.500
0.333 0.667 0.167
0.667 0.333 0.833
```

- calculated total energy (eV/atom) = -3.428
- crystal system = trigonal
- energy relative to the elements (eV per atom) = 0.2873

***

[3]
A relaxed TiOF2 crystal. Source: the Alexandria database, functional PBE-GGA.

Geometry as POSCAR:
```
TiOF2
1.0
3.470 0.000 0.000
0.000 10.189 0.000
-0.044 0.000 6.436
Ti O F
4 4 8
Direct
0.000 0.026 0.250
0.000 0.974 0.750
0.500 0.474 0.750
0.500 0.526 0.250
0.000 0.418 0.750
0.000 0.582 0.250
0.500 0.082 0.250
0.500 0.918 0.750
0.002 0.114 0.553
0.002 0.886 0.053
0.498 0.386 0.447
0.498 0.614 0.947
0.502 0.386 0.053
0.502 0.614 0.553
0.998 0.114 0.947
0.998 0.886 0.447
```

- calculated total energy (eV/atom) = -7.286
- crystal system = monoclinic
- uncorrected formation energy (eV/atom) = -3.137
- relative energy among the computed polymorphs (meV per atom) = 65.5

***

Question: Which value of calculated total energy does entry 2 give?
Answer: -3.428 eV/atom